1.
This record from Alexandria describes Np2TeSe2O2 after structural relaxation. The functional is GGA-PBE.

## Properties
Space group: P-3m1
Density of states at the Fermi level (states/eV/atom): 1.9894
Energy relative to the elements, uncorrected (meV/atom): -1612
Energy (eV/atom): -8.17

abc: 3.7599 3.7599 13.0145
angles: 90.00 90.00 120.00
Last column: nearest neighbours and their distance in Å.
Fractional coordinates of all 7 atoms:
O: 0.3333 0.6667 0.1884  3 Np 2.20
O: 0.6667 0.3333 0.8116  3 Np 2.20
Np: 0.3333 0.6667 0.7820  3 O 2.20
Np: 0.6667 0.3333 0.2180  3 O 2.20
Te: 0.0000 0.0000 0.0000  6 O 3.28, 6 Np 3.57
Se: 0.0000 0.0000 0.6406  3 Np 2.85, 3 O 3.11
Se: 0.0000 0.0000 0.3594  3 Np 2.85, 3 O 3.11

=====

2.
This record from Alexandria describes NpTiSe2O after structural relaxation. The functional is GGA-PBE.

## Properties
Space group: P4/nmm
Density of states at the Fermi level (states/eV/atom): 1.6697
Energy relative to the elements, uncorrected (meV/atom): -1738
Energy (eV/atom): -8.29

abc: 3.7418 3.7418 13.2327
angles: 90.00 90.00 90.00
Last column: nearest neighbours and their distance in Å.
Fractional coordinates of all 10 atoms:
Se: 0.5000 0.0000 0.2890  1 Ti 2.73, 4 Np 3.03
Se: 0.0000 0.5000 0.1114  5 Ti 2.57-2.67
Se: 0.0000 0.5000 0.7110  1 Ti 2.73, 4 Np 3.03
Se: 0.5000 0.0000 0.8886  5 Ti 2.57-2.67
O: 0.0000 0.0000 0.5000  4 Np 2.29
O: 0.5000 0.5000 0.5000  4 Np 2.29
Np: 0.0000 0.5000 0.4003  4 O 2.29
Np: 0.5000 0.0000 0.5997  4 O 2.29
Ti: 0.5000 0.0000 0.0828  6 Se 2.57-2.73
Ti: 0.0000 0.5000 0.9172  6 Se 2.57-2.73